! GGA-PBEsol SrTlRh2, optimized geometry; values from VASP
! * energy of formation: 0.2810 eV/atom
&SYSTEM
  ibrav = 0, nat = 4, ntyp = 3
/
ATOMIC_SPECIES
Sr 87.62 Sr.upf
Tl 204.38 Tl.upf
Rh 102.91 Rh.upf
ATOMIC_POSITIONS crystal
Sr 0.0000 0.0000 0.0000
Tl 0.7500 0.7500 0.7500
Rh 0.2500 0.2500 0.2500
Rh 0.5000 0.5000 0.5000
CELL_PARAMETERS angstrom
0.0000 3.4029 3.4029
3.4029 0.0000 3.4029
3.4029 3.4029 0.0000


! GGA-PBEsol Eu, optimized geometry; values from VASP
! * energy of formation: 0.0000 eV/atom
&SYSTEM
  ibrav = 0, nat = 1, ntyp = 1
/
ATOMIC_SPECIES
Eu 151.96 Eu.upf
ATOMIC_POSITIONS crystal
Eu 0.0000 0.0000 0.0000
CELL_PARAMETERS angstrom
0.0000 2.6637 2.6637
2.6637 0.0000 2.6637
2.6637 2.6637 0.0000


! GGA-PBEsol BiPt2I, optimized geometry; values from VASP
! * formation energy (no corrections): 0.34 eV per atom
&SYSTEM
  ibrav = 0, nat = 4, ntyp = 3
/
ATOMIC_SPECIES
Bi 208.98 Bi.upf
Pt 195.08 Pt.upf
I 126.90 I.upf
ATOMIC_POSITIONS crystal
Bi 0.0000 0.0000 0.0000
Pt 0.2500 0.2500 0.2500
Pt 0.7500 0.7500 0.7500
I 0.5000 0.5000 0.5000
CELL_PARAMETERS angstrom
0.0000 3.4618 3.4618
3.4618 0.0000 3.4618
3.4618 3.4618 0.0000


! GGA-PBEsol CuTcTeI2, optimized geometry; values from VASP
! * formation energy (no corrections): 0.84 eV per atom
&SYSTEM
  ibrav = 0, nat = 5, ntyp = 4
/
ATOMIC_SPECIES
Cu 63.55 Cu.upf
Tc 98.00 Tc.upf
Te 127.60 Te.upf
I 126.90 I.upf
ATOMIC_POSITIONS crystal
Cu 0.0000 0.0000 0.0000
Tc 0.5000 0.5000 0.5000
Te 0.5000 0.5000 0.0000
I 0.0000 0.5000 0.5000
I 0.5000 0.0000 0.5000
CELL_PARAMETERS angstrom
5.4528 0.0000 0.0000
0.0000 5.4528 0.0000
0.0000 0.0000 4.9832


! GGA-PBEsol CrMoRh2, optimized geometry; values from VASP
! * energy of formation: -0.1145 eV/atom
&SYSTEM
  ibrav = 0, nat = 4, ntyp = 3
/
ATOMIC_SPECIES
Cr 52.00 Cr.upf
Mo 95.94 Mo.upf
Rh 102.91 Rh.upf
ATOMIC_POSITIONS crystal
Cr 0.0000 0.0000 0.0000
Mo 0.5000 0.5000 0.0000
Rh 0.0000 0.5000 0.5000
Rh 0.5000 0.0000 0.5000
CELL_PARAMETERS angstrom
3.7571 0.0000 0.0000
0.0000 3.7571 0.0000
0.0000 0.0000 3.7725


! GGA-PBEsol LaMg2Os, optimized geometry; values from VASP
! * energy of formation: 0.1366 eV/atom
&SYSTEM
  ibrav = 0, nat = 4, ntyp = 3
/
ATOMIC_SPECIES
La 138.91 La.upf
Mg 24.30 Mg.upf
Os 190.23 Os.upf
ATOMIC_POSITIONS crystal
La 0.0000 0.0000 0.0000
Mg 0.5511 0.5511 0.5686
Mg 0.8129 0.8129 0.3689
Os 0.2333 0.2333 0.5717
CELL_PARAMETERS angstrom
4.3027 -2.2427 0.0000
4.3027 2.2427 0.0000
-3.1258 0.0000 4.7644